No. 1
The following is a DFT calculation (PBE) of a geometry-optimized CaLaNi2 structure.

Symmetry: I-42d, No. 122

Cell: 6.1788 6.1788 6.1788 Å, 105.90 105.90 116.88°
Fractional coordinates of all 8 atoms:
Ca 0.0000 0.0000 0.0000
Ca 0.7500 0.2500 0.5000
La 0.2500 0.7500 0.5000
La 0.5000 0.5000 0.0000
Ni 0.1369 0.1250 0.5119
Ni 0.3750 0.8631 0.9881
Ni 0.6131 0.6250 0.4881
Ni 0.8750 0.3869 0.0119

No. 2
The following is a DFT calculation (PBE) of a geometry-optimized CaLa2Ni structure.

Symmetry: P4/mmm, No. 123
Offset from the most stable computed form (meV per atom): 304

Cell: 5.2967 5.2967 4.0985 Å, 90.00 90.00 90.00°
Fractional coordinates of all 4 atoms:
Ca 0.0000 0.0000 0.0000
La 0.0000 0.5000 0.5000
La 0.5000 0.0000 0.5000
Ni 0.5000 0.5000 0.0000

No. 3
The following is a DFT calculation (PBE) of a geometry-optimized CaLa2Ni structure.

Symmetry: Immm, No. 71
Offset from the most stable computed form (meV per atom): 38

Cell: 6.5895 6.5895 6.5895 Å, 147.28 127.77 63.01°
Fractional coordinates of all 4 atoms:
Ca 0.0000 0.0000 0.0000
La 0.3140 0.8140 0.5000
La 0.6860 0.1860 0.5000
Ni 0.5000 0.5000 0.0000

No. 4
The following is a DFT calculation (PBE) of a geometry-optimized CaLaNi2 structure.

Symmetry: Amm2, No. 38

Cell: 4.1969 5.7450 5.7450 Å, 40.50 90.00 90.00°
Fractional coordinates of all 4 atoms:
Ca 0.0000 0.0000 0.0000
La 0.5000 0.7219 0.7219
Ni 0.0000 0.2935 0.2935
Ni 0.5000 0.4177 0.4177

No. 5
The following is a DFT calculation (PBE) of a geometry-optimized CaLa2Ni structure.

Symmetry: I-42d, No. 122
Offset from the most stable computed form (meV per atom): 136

Cell: 6.9805 6.9805 6.9805 Å, 103.05 103.05 123.25°
Fractional coordinates of all 8 atoms:
Ca 0.0000 0.0000 0.0000
Ca 0.7500 0.2500 0.5000
La 0.2041 0.6250 0.0791
La 0.3750 0.4541 0.5791
La 0.5459 0.1250 0.9209
La 0.8750 0.7959 0.4209
Ni 0.2500 0.7500 0.5000
Ni 0.5000 0.5000 0.0000

No. 6
The following is a DFT calculation (PBE) of a geometry-optimized CaLaNi2 structure.

Symmetry: R3m, No. 160

Cell: 7.5855 7.5855 7.5855 Å, 31.33 31.33 31.33°
Fractional coordinates of all 4 atoms:
Ca 0.0000 0.0000 0.0000
La 0.8312 0.8312 0.8312
Ni 0.2445 0.2445 0.2445
Ni 0.5782 0.5782 0.5782

No. 7
The following is a DFT calculation (PBE) of a geometry-optimized CaLaNi structure.

Symmetry: P3m1, No. 156
Offset from the most stable computed form (meV per atom): 114

Cell: 4.0316 4.0316 6.7373 Å, 90.00 90.00 120.00°
Fractional coordinates of all 3 atoms:
Ca 0.0000 0.0000 0.0000
La 0.6667 0.3333 0.5285
Ni 0.3333 0.6667 0.7437

No. 8
The following is a DFT calculation (PBE) of a geometry-optimized CaLa2Ni structure.

Symmetry: Imm2, No. 44
Offset from the most stable computed form (meV per atom): 87

Cell: 6.8401 6.8401 6.8401 Å, 148.65 132.36 58.14°
Fractional coordinates of all 4 atoms:
Ca 0.0000 0.0000 0.0000
La 0.3105 0.8105 0.5000
La 0.6395 0.6395 0.0000
Ni 0.8068 0.3068 0.5000

No. 9
The following is a DFT calculation (PBE) of a geometry-optimized CaLa12Ni6 structure.

Symmetry: Im-3, No. 204

Cell: 9.0106 9.0106 9.0106 Å, 109.47 109.47 109.47°
Fractional coordinates of all 19 atoms:
Ca 0.0000 0.0000 0.0000
La 0.1314 0.8136 0.3178
La 0.1864 0.3178 0.5042
La 0.1864 0.6822 0.8686
La 0.3178 0.1314 0.8136
La 0.3178 0.5042 0.1864
La 0.4958 0.8136 0.6822
La 0.5042 0.1864 0.3178
La 0.6822 0.4958 0.8136
La 0.6822 0.8686 0.1864
La 0.8136 0.3178 0.1314
La 0.8136 0.6822 0.4958
La 0.8686 0.1864 0.6822
Ni 0.1223 0.6223 0.5000
Ni 0.3777 0.5000 0.8777
Ni 0.5000 0.1223 0.6223
Ni 0.5000 0.8777 0.3777
Ni 0.6223 0.5000 0.1223
Ni 0.8777 0.3777 0.5000

No. 10
The following is a DFT calculation (PBE) of a geometry-optimized CaLa2Ni2 structure.

Symmetry: P4/mbm, No. 127
Offset from the most stable computed form (meV per atom): 214

Cell: 8.4092 8.4092 3.3645 Å, 90.00 90.00 90.00°
Fractional coordinates of all 10 atoms:
Ca 0.0000 0.0000 0.0000
Ca 0.5000 0.5000 0.0000
La 0.1394 0.3606 0.0000
La 0.3606 0.8606 0.0000
La 0.6394 0.1394 0.0000
La 0.8606 0.6394 0.0000
Ni 0.1645 0.6645 0.5000
Ni 0.3355 0.1645 0.5000
Ni 0.6645 0.8355 0.5000
Ni 0.8355 0.3355 0.5000

No. 11
The following is a DFT calculation (PBE) of a geometry-optimized CaLa2Ni2 structure.

Symmetry: P4/mbm, No. 127
Offset from the most stable computed form (meV per atom): 48

Cell: 7.9025 7.9025 4.0159 Å, 90.00 90.00 90.00°
Fractional coordinates of all 10 atoms:
Ca 0.0000 0.0000 0.0000
Ca 0.5000 0.5000 0.0000
La 0.1602 0.3398 0.5000
La 0.3398 0.8398 0.5000
La 0.6602 0.1602 0.5000
La 0.8398 0.6602 0.5000
Ni 0.1205 0.6205 0.0000
Ni 0.3795 0.1205 0.0000
Ni 0.6205 0.8795 0.0000
Ni 0.8795 0.3795 0.0000

No. 12
The following is a DFT calculation (PBE) of a geometry-optimized CaLa2Ni2 structure.

Symmetry: Cmmm, No. 65
Offset from the most stable computed form (meV per atom): 0

Cell: 8.4340 8.4340 3.8696 Å, 90.00 90.00 150.91°
Fractional coordinates of all 5 atoms:
Ca 0.0000 0.0000 0.0000
La 0.3408 0.6592 0.5000
La 0.6592 0.3408 0.5000
Ni 0.1987 0.8013 0.0000
Ni 0.8013 0.1987 0.0000

no.,density (g/cm³),energy of formation (eV/atom)
1,5.49,0.124
2,5.44,0.185
3,5.17,-0.081
4,5.47,-0.240
5,5.00,0.017
6,4.70,-0.234
7,4.16,-0.107
8,5.12,-0.032
9,6.07,-0.210
10,6.08,-0.050
11,5.76,-0.215
12,5.40,-0.264